A relaxed CsTe2MoI crystal. Source: Alexandria via LeMat-Bulk, functional PBE-GGA.

## Properties
E above lowest polymorph in eV per atom: 1.700
Calculated density in g/cm³: 3.60
Uncorrected formation energy in eV/atom: 1.477
M_tot in Bohr magnetons per cell: 2.99

Cell lengths 6.3934, 6.3934, 6.9007 Å; angles 90.00, 90.00, 90.00 degrees
Site moments in Bohr magnetons follow the coordinates.
Element x y z (fractional)
Cs  0.0000  0.0000  0.0000  -0.06
Te  0.0000  0.5000  0.0000  -0.48
I  0.0000  0.0000  0.5000  -0.11
Mo  0.5000  0.5000  0.5000  4.08
Te  0.5000  0.0000  0.0000  -0.48

---

A relaxed CsTe2MoI crystal. Source: Alexandria via LeMat-Bulk, functional PBE-GGA.

## Properties
E above lowest polymorph in eV per atom: 0.000
Calculated density in g/cm³: 5.73
Uncorrected formation energy in eV/atom: -0.223
M_tot in Bohr magnetons per cell: 0.47

Cell lengths 5.3468, 5.3468, 6.1923 Å; angles 90.00, 90.00, 90.00 degrees
Site moments in Bohr magnetons follow the coordinates.
Element x y z (fractional)
Te  0.5000  0.0000  0.0000  0.00
Mo  0.0000  0.0000  0.0000  0.39
Cs  0.5000  0.5000  0.5000  0.00
I  0.0000  0.0000  0.5000  0.00
Te  0.0000  0.5000  0.0000  0.00

---

A relaxed Cs2TiMoI6 crystal. Source: Alexandria via LeMat-Bulk, functional PBE-GGA.

## Properties
Calculated density in g/cm³: 4.77
Uncorrected formation energy in eV/atom: -0.657
M_tot in Bohr magnetons per cell: 6.00

Cell lengths 8.3194, 8.3194, 8.3227 Å; angles 60.01, 60.01, 90.00 degrees
Site moments in Bohr magnetons follow the coordinates.
Element x y z (fractional)
I  0.2514  0.2514  0.4971  0.00
I  0.2527  0.7473  0.0000  0.00
Cs  0.7500  0.2500  0.5000  0.00
Ti  0.5000  0.5000  0.0000  1.61
I  0.7473  0.2527  0.0000  0.00
I  0.7473  0.7473  0.0000  0.00
I  0.7486  0.7486  0.5029  0.00
Cs  0.2500  0.7500  0.5000  0.00
Mo  0.0000  0.0000  0.0000  3.33
I  0.2527  0.2527  0.0000  0.00

---

A relaxed CsTl2MoI8 crystal. Source: Alexandria via LeMat-Bulk, functional PBE-GGA.

## Properties
Calculated density in g/cm³: 5.29
Uncorrected formation energy in eV/atom: -0.529
M_tot in Bohr magnetons per cell: 1.98

Cell lengths 8.0261, 6.6300, 10.3692 Å; angles 70.44, 90.78, 93.80 degrees
Site moments in Bohr magnetons follow the coordinates.
Element x y z (fractional)
Mo  0.0000  0.0000  0.0000  1.78
Tl  0.4564  0.7166  0.1854  0.00
I  0.9812  0.3576  0.7632  -0.01
I  0.2571  0.2037  0.1018  -0.01
I  0.4991  0.7481  0.5079  -0.01
I  0.2314  0.8431  0.8691  -0.01
I  0.5009  0.2519  0.4921  -0.01
Tl  0.5436  0.2834  0.8146  0.00
I  0.0188  0.6424  0.2368  -0.01
I  0.7429  0.7963  0.8982  -0.01
Cs  0.0000  0.0000  0.5000  0.00
I  0.7686  0.1569  0.1309  -0.01

---

A relaxed CsTlMoI6 crystal. Source: Alexandria via LeMat-Bulk, functional PBE-GGA.

## Properties
Calculated density in g/cm³: 4.23
Uncorrected formation energy in eV/atom: -0.560
M_tot in Bohr magnetons per cell: 2.00

Cell lengths 8.0936, 8.0936, 8.2655 Å; angles 90.01, 89.99, 59.98 degrees
Site moments in Bohr magnetons follow the coordinates.
Element x y z (fractional)
I  0.0497  0.3389  0.3048  -0.03
I  0.3391  0.6113  0.3048  -0.03
I  0.6112  0.3391  0.6952  -0.03
I  0.0494  0.6117  0.6950  -0.03
I  0.3389  0.0497  0.6952  -0.03
Cs  0.0000  0.0000  0.0000  0.00
I  0.6116  0.0494  0.3050  -0.03
Mo  0.3333  0.3334  0.5000  1.95
Tl  0.6666  0.6666  0.5000  -0.07

---

A relaxed Cs2YMoI6 crystal. Source: Alexandria via LeMat-Bulk, functional PBE-GGA.

## Properties
Calculated density in g/cm³: 4.40
Uncorrected formation energy in eV/atom: -0.895
M_tot in Bohr magnetons per cell: 5.00

Cell lengths 8.6488, 8.6488, 8.6463 Å; angles 59.99, 59.99, 90.00 degrees
Site moments in Bohr magnetons follow the coordinates.
Element x y z (fractional)
I  0.2508  0.7492  0.0000  0.02
I  0.7492  0.2508  0.0000  0.02
I  0.7494  0.7494  0.5012  0.02
I  0.2508  0.2508  0.0000  0.02
Y  0.5000  0.5000  0.0000  0.18
I  0.7492  0.7492  0.0000  0.02
Cs  0.2500  0.7500  0.5000  0.00
Mo  0.0000  0.0000  0.0000  3.73
Cs  0.7500  0.2500  0.5000  0.00
I  0.2506  0.2506  0.4988  0.02

---

A relaxed CsI2N2 crystal. Source: Alexandria via LeMat-Bulk, functional PBE-GGA.

## Properties
E above lowest polymorph in eV per atom: 0.486
Calculated density in g/cm³: 1.80
Uncorrected formation energy in eV/atom: 1.736
M_tot in Bohr magnetons per cell: 7.08

Cell lengths 7.4724, 7.4724, 6.8506 Å; angles 90.00, 90.00, 90.00 degrees
Site moments in Bohr magnetons follow the coordinates.
Element x y z (fractional)
N  0.5000  0.5000  0.5000  1.94
I  0.0000  0.5000  0.0000  0.33
I  0.5000  0.0000  0.0000  0.33
Cs  0.0000  0.0000  0.0000  0.01
N  0.0000  0.0000  0.5000  1.93

---

A relaxed CsI2N2 crystal. Source: Alexandria via LeMat-Bulk, functional PBE-GGA.

## Properties
E above lowest polymorph in eV per atom: 0.000
Calculated density in g/cm³: 4.70
Uncorrected formation energy in eV/atom: 1.250
M_tot in Bohr magnetons per cell: 2.23

Cell lengths 5.0960, 5.0960, 5.6480 Å; angles 90.00, 90.00, 90.00 degrees
Site moments in Bohr magnetons follow the coordinates.
Element x y z (fractional)
I  0.0000  0.5000  0.0000  0.02
I  0.5000  0.0000  0.0000  0.02
Cs  0.5000  0.5000  0.5000  0.01
N  0.0000  0.0000  0.0000  -0.32
N  0.0000  0.0000  0.5000  1.75

---

A relaxed CsI2N2 crystal. Source: Alexandria via LeMat-Bulk, functional PBE-GGA.

## Properties
E above lowest polymorph in eV per atom: 0.063
Calculated density in g/cm³: 3.17
Uncorrected formation energy in eV/atom: 1.312
M_tot in Bohr magnetons per cell: 3.90

Cell lengths 4.9394, 4.9394, 8.9118 Å; angles 90.00, 90.00, 90.00 degrees
Site moments in Bohr magnetons follow the coordinates.
Element x y z (fractional)
N  0.5000  0.0000  0.0000  1.23
I  0.0000  0.0000  0.5000  0.01
N  0.0000  0.5000  0.0000  1.23
I  0.0000  0.0000  0.0000  0.13
Cs  0.5000  0.5000  0.5000  0.00

---

A relaxed CsI2N2 crystal. Source: Alexandria via LeMat-Bulk, functional PBE-GGA.

## Properties
E above lowest polymorph in eV per atom: 0.673
Calculated density in g/cm³: 3.69
Uncorrected formation energy in eV/atom: 1.923
M_tot in Bohr magnetons per cell: 4.19

Cell lengths 4.9173, 4.9173, 7.7259 Å; angles 90.00, 90.00, 90.00 degrees
Site moments in Bohr magnetons follow the coordinates.
Element x y z (fractional)
N  0.5000  0.0000  0.0000  1.33
N  0.0000  0.5000  0.0000  1.33
I  0.5000  0.5000  0.5000  0.02
Cs  0.0000  0.0000  0.0000  0.14
I  0.0000  0.0000  0.5000  0.01

---

A relaxed CsIN2 crystal. Source: Alexandria via LeMat-Bulk, functional PBE-GGA.

## Properties
E above lowest polymorph in eV per atom: 1.919
Calculated density in g/cm³: 4.77
Uncorrected formation energy in eV/atom: 1.206
M_tot in Bohr magnetons per cell: 0.00

Cell lengths 6.5413, 6.5413, 6.5790 Å; angles 60.19, 60.19, 90.00 degrees
Element x y z (fractional)
Cs  0.7500  0.2500  0.5000
Cs  0.0000  0.0000  0.0000
N  0.8750  0.7247  0.7500
I  0.2500  0.7500  0.5000
N  0.4747  0.1250  0.2500
N  0.2753  0.6250  0.2500
N  0.3750  0.5253  0.7500
I  0.5000  0.5000  0.0000

---

A relaxed Cs4I2N crystal. Source: Alexandria via LeMat-Bulk, functional PBE-GGA.

## Properties
Calculated density in g/cm³: 3.53
Uncorrected formation energy in eV/atom: -0.236
M_tot in Bohr magnetons per cell: 0.00

Cell lengths 6.1096, 6.1096, 10.9671 Å; angles 73.83, 73.83, 90.00 degrees
Element x y z (fractional)
Cs  0.5000  0.0000  0.0000
Cs  0.6839  0.6839  0.6322
I  0.8755  0.8755  0.2489
Cs  0.0000  0.5000  0.0000
Cs  0.3161  0.3161  0.3678
I  0.1245  0.1245  0.7511
N  0.0000  0.0000  0.0000